1.
{"formula": "TaGe2CF", "functional": "PBE", "state": "relaxed", "lattice_angstrom": [[4.2866, 0.0000, 0.0000], [0.0000, 3.8772, 0.0000], [0.0000, 0.0000, 4.2866]], "species": ["F", "Ge", "Ge", "Ta", "C"], "fractional_positions": [[0.0000, 0.5000, 0.0000], [0.5000, 0.0000, 0.0000], [0.0000, 0.0000, 0.5000], [0.5000, 0.5000, 0.5000], [0.0000, 0.0000, 0.0000]], "energy_ev_per_atom": -5.633, "crystal_system": "tetragonal", "vol_a3_per_cell": 71}



2.
{"formula": "Y5AgPd2", "functional": "PBE", "state": "relaxed", "lattice_angstrom": [[7.0835, 0.0000, -3.3438], [-1.5784, 6.9054, -3.3438], [-0.2345, -0.2942, 8.6779]], "species": ["Y", "Y", "Y", "Y", "Y", "Y", "Y", "Y", "Y", "Y", "Pd", "Pd", "Pd", "Pd", "Ag", "Ag"], "fractional_positions": [[0.0184, 0.5184, 0.7160], [0.6976, 0.1976, 0.7160], [0.9816, 0.4816, 0.2840], [0.8024, 0.9816, 0.2840], [0.3024, 0.8024, 0.2840], [0.0000, 0.0000, 0.0000], [0.4816, 0.3024, 0.2840], [0.5184, 0.6976, 0.7160], [0.5000, 0.5000, 0.0000], [0.1976, 0.0184, 0.7160], [0.8667, 0.6333, 0.0000], [0.3667, 0.8667, 0.0000], [0.1333, 0.3667, 0.0000], [0.6333, 0.1333, 0.0000], [0.2500, 0.2500, 0.5000], [0.7500, 0.7500, 0.5000]], "formation_enthalpy_0k_mev_per_atom": -529.5, "crystal_system": "tetragonal", "vol_a3_per_cell": 411}



3.
{"formula": "Li5CuP3O11", "functional": "PBE", "state": "relaxed", "lattice_angstrom": [[-4.5010, 1.7846, -3.1201], [-4.1207, -5.9094, 3.3249], [-0.3916, 6.8808, 7.8793]], "species": ["O", "O", "O", "O", "O", "O", "O", "O", "O", "O", "O", "O", "O", "O", "O", "O", "O", "O", "O", "O", "O", "O", "Li", "Li", "Li", "Li", "Li", "Li", "Li", "Li", "Li", "Li", "P", "P", "P", "P", "P", "P", "Cu", "Cu"], "fractional_positions": [[0.5131, 0.7768, 0.5529], [0.5402, 0.1928, 0.0177], [0.7909, 0.9784, 0.8251], [0.7128, 0.5355, 0.6453], [0.3147, 0.6084, 0.1248], [0.8037, 0.0951, 0.6127], [0.8126, 0.9229, 0.2249], [0.4869, 0.2232, 0.4471], [0.9868, 0.2487, 0.0264], [0.1902, 0.3879, 0.5694], [0.8098, 0.6121, 0.4306], [0.4598, 0.8072, 0.9823], [0.7729, 0.4808, 0.1253], [0.0383, 0.1916, 0.3582], [0.2091, 0.0216, 0.1749], [0.0132, 0.7513, 0.9736], [0.1963, 0.9049, 0.3873], [0.2271, 0.5192, 0.8747], [0.1874, 0.0771, 0.7751], [0.2872, 0.4645, 0.3547], [0.9617, 0.8084, 0.6418], [0.6853, 0.3916, 0.8752], [0.4742, 0.9850, 0.8656], [0.5258, 0.0150, 0.1344], [0.5728, 0.5436, 0.2624], [0.7587, 0.7141, 0.0778], [0.1681, 0.6810, 0.4488], [0.4272, 0.4564, 0.7376], [0.8319, 0.3190, 0.5512], [0.8919, 0.5515, 0.8199], [0.1081, 0.4485, 0.1801], [0.2413, 0.2859, 0.9222], [0.7362, 0.6748, 0.5611], [0.2632, 0.6711, 0.9921], [0.7368, 0.3289, 0.0079], [0.9372, 0.0003, 0.7174], [0.2638, 0.3252, 0.4389], [0.0628, 0.9997, 0.2826], [0.0000, 0.0000, 0.0000], [0.5000, 0.0000, 0.5000]], "energy_ev_per_atom": -6.373, "crystal_system": "triclinic", "vol_a3_per_cell": 464}



4.
{"formula": "MoIr2Br", "functional": "PBE", "state": "relaxed", "lattice_angstrom": [[7.2542, 1.2977, -0.1291], [4.7199, 5.6595, 0.1291], [-5.4614, -4.3833, 2.2986]], "species": ["Ir", "Ir", "Br", "Mo"], "fractional_positions": [[0.6486, 0.1486, 0.5000], [0.0477, 0.0477, 0.0000], [0.3249, 0.8249, 0.5000], [0.4787, 0.4787, 0.0000]], "polymorph_energy_mev_per_atom": 204, "crystal_system": "orthorhombic", "vol_a3_per_cell": 82}



5.
{"formula": "SrZnNiPd", "functional": "PBE", "state": "relaxed", "lattice_angstrom": [[4.3333, 0.0000, 0.0000], [-2.1666, 3.7538, -0.0003], [0.0000, -2.4970, 5.2301]], "species": ["Pd", "Sr", "Zn", "Ni"], "fractional_positions": [[0.4215, 0.8431, 0.9065], [0.6162, 0.2325, 0.4914], [0.1227, 0.2454, 0.0101], [0.8059, 0.6117, 0.0594]], "formation_enthalpy_0k_mev_per_atom": -379.3, "crystal_system": "trigonal", "vol_a3_per_cell": 85}



6.
{"formula": "Sm2CuS", "functional": "PBE", "state": "relaxed", "lattice_angstrom": [[-1.9041, -3.1904, -1.2397], [1.1248, -1.7955, -3.2942], [4.2576, -5.8428, 2.3099]], "species": ["Sm", "Sm", "S", "Cu"], "fractional_positions": [[0.0778, 0.0778, 0.7666], [0.2552, 0.2552, 0.2344], [0.6678, 0.6678, 0.9965], [0.4992, 0.4992, 0.5025]], "polymorph_energy_mev_per_atom": 152, "crystal_system": "trigonal", "vol_a3_per_cell": 96}



7.
{"formula": "H2Pd2Pb", "functional": "PBE", "state": "relaxed", "lattice_angstrom": [[-1.4409, -1.3307, -3.0352], [-0.4446, -3.2022, 1.6150], [-5.4264, -0.8776, 0.8094]], "species": ["Pb", "Pd", "Pd", "H", "H"], "fractional_positions": [[0.0000, 0.0000, 0.0000], [0.3241, 0.3241, 0.3518], [0.6759, 0.6759, 0.6482], [0.2500, 0.7500, 0.5000], [0.7500, 0.2500, 0.5000]], "polymorph_energy_mev_per_atom": 44, "crystal_system": "tetragonal", "vol_a3_per_cell": 64}



8.
{"formula": "InGa6S8", "functional": "PBE", "state": "relaxed", "lattice_angstrom": [[6.9905, -0.2719, -0.2808], [-0.4898, 6.9786, -0.2808], [-0.4898, -0.5053, 6.9660]], "species": ["In", "S", "S", "S", "S", "S", "S", "S", "S", "Ga", "Ga", "Ga", "Ga", "Ga", "Ga"], "fractional_positions": [[0.0000, 0.0000, 0.0000], [0.1730, 0.6132, 0.8442], [0.3868, 0.1558, 0.8270], [0.6692, 0.6692, 0.6692], [0.1558, 0.8270, 0.3868], [0.8270, 0.3868, 0.1558], [0.6132, 0.8442, 0.1730], [0.8442, 0.1730, 0.6132], [0.3308, 0.3308, 0.3308], [0.6819, 0.3748, 0.8226], [0.6252, 0.1774, 0.3181], [0.3748, 0.8226, 0.6819], [0.3181, 0.6252, 0.1774], [0.1774, 0.3181, 0.6252], [0.8226, 0.6819, 0.3748]], "energy_ev_per_atom": -3.985, "crystal_system": "trigonal", "vol_a3_per_cell": 337}



Number 1: theoretical density 8.3 g cm⁻³. Number 2: theoretical density 6.2 g cm⁻³. Number 3: theoretical density 2.6 g cm⁻³. Number 4: theoretical density 11.3 g cm⁻³. Number 5: theoretical density 6.2 g cm⁻³. Number 6: theoretical density 6.8 g cm⁻³. Number 7: theoretical density 10.9 g cm⁻³. Number 8: theoretical density 3.9 g cm⁻³.